Crystalline Na2HoPWO8 at its relaxed geometry. Source: the Alexandria database, functional PBE with a Hubbard U.

Calculated values
E_tot: -7.057 eV/atom
N(E_F): 0.0 states/eV/cell

```
data_Na2HoPWO8
_space_group_name_H-M_alt 'I b c a'
_space_group_IT_number 73
_space_group_name_Hall '-I 2b 2c'
_cell_length_a 6.9339
_cell_length_b 12.2106
_cell_length_c 18.2523
_cell_angle_alpha 90.00
_cell_angle_beta 90.00
_cell_angle_gamma 90.00
loop_
_atom_site_label
_atom_site_type_symbol
_atom_site_fract_x
_atom_site_fract_y
_atom_site_fract_z
_atom_site_occupancy
Na1 Na 0.0019 0.0518 0.1548 1
Ho1 Ho 0.2500 0.1777 0.5000 1
P1 P 0.2500 0.0691 0.0000 1
W1 W 0.0000 0.2500 0.3228 1
O1 O 0.0430 0.1286 0.7687 1
O2 O 0.0748 0.1486 0.0066 1
O3 O 0.2123 0.2245 0.3799 1
O4 O 0.2408 0.0068 0.5679 1
```